(1)
This record from Alexandria describes Ti2HPt2 after structural relaxation. The functional is PBE.

abc: 5.532 5.532 4.499
angles: 90.00 90.00 90.00
Sites, in units of the cell vectors:
Pt 0.332 0.168 0.500
Pt 0.832 0.332 0.500
H 0.500 0.500 0.000
Pt 0.168 0.668 0.500
Ti 0.169 0.331 0.000
Ti 0.669 0.169 0.000
Pt 0.668 0.832 0.500
Ti 0.831 0.669 0.000
H 0.000 0.000 0.000
Ti 0.331 0.831 0.000

Results
- E_tot: -6.700 eV/atom
- Volume: 137.7 Å³/cell


(2)
This record from Alexandria describes CaMg2Mn after structural relaxation. The functional is PBE.

abc: 5.895 5.895 3.174
angles: 83.18 83.18 115.84
Sites, in units of the cell vectors:
Mg 0.000 0.000 0.000
Mn 0.500 0.000 0.500
Ca 0.000 0.500 0.500
Mg 0.500 0.500 0.000

Results
- E_tot: -3.264 eV/atom
- Formation enthalpy at 0 K: 0.33 eV per atom
- Volume: 96.8 Å³/cell


(3)
This record from Alexandria describes La6IrRh2Cl3 after structural relaxation. The functional is PBE.

abc: 7.212 7.212 8.034
angles: 98.60 98.60 120.00
Sites, in units of the cell vectors:
Cl 0.500 0.500 0.500
Rh 0.333 0.667 0.000
La 0.401 0.068 0.205
Rh 0.667 0.333 0.000
La 0.264 0.264 0.795
La 0.932 0.599 0.795
La 0.736 0.736 0.205
Ir 0.000 0.000 0.000
Cl 0.833 0.167 0.500
La 0.599 0.932 0.795
Cl 0.167 0.833 0.500
La 0.068 0.401 0.205

Results
- E_tot: -6.195 eV/atom
- Volume: 345.3 Å³/cell